Record 1
Compound: Pr4AlTlAg2
Source: Alexandria
Functional: PBE
Structure: optimized geometry

a = 5.4068 Å, b = 5.4068 Å, c = 26.6243 Å
α = 90.00°, β = 90.00°, γ = 120.00°
Space group R-3m (No. 166, hexagonal axes)
Asymmetric unit:
Pr (0.0000, 0.0000, 0.1219)
Pr (0.0000, 0.0000, 0.3721)
Al (0.0000, 0.0000, 0.0000)
Tl (0.0000, 0.0000, 0.5000)
Ag (0.0000, 0.0000, 0.2498)

Record 2
Compound: PrTmAlAg
Source: Alexandria
Functional: PBE
Structure: optimized geometry

a = 7.398 Å, b = 7.398 Å, c = 7.398 Å
α = 90.00°, β = 90.00°, γ = 90.00°
Space group F-43m (No. 216)
Asymmetric unit:
Pr (0.000, 0.000, 0.000)
Tm (0.000, 0.000, 0.500)
Al (0.250, 0.250, 0.750)
Ag (0.250, 0.250, 0.250)

Record 3
Compound: PrTmAlAg
Source: Alexandria
Functional: PBE
Structure: optimized geometry

a = 3.594 Å, b = 3.594 Å, c = 7.673 Å
α = 90.00°, β = 90.00°, γ = 90.00°
Space group P4mm (No. 99)
Asymmetric unit:
Pr (0.000, 0.000, 0.000)
Tm (0.000, 0.000, 0.504)
Al (0.500, 0.500, 0.738)
Ag (0.500, 0.500, 0.293)

Record 4
Compound: PrYAlAg
Source: Alexandria
Functional: PBE
Structure: optimized geometry

a = 7.452 Å, b = 7.452 Å, c = 7.452 Å
α = 90.00°, β = 90.00°, γ = 90.00°
Space group F-43m (No. 216)
Asymmetric unit:
Pr (0.000, 0.000, 0.000)
Y (0.000, 0.000, 0.500)
Al (0.250, 0.250, 0.250)
Ag (0.250, 0.250, 0.750)

Record 5
Compound: PrYAlAg
Source: Alexandria
Functional: PBE
Structure: optimized geometry

a = 3.619 Å, b = 3.619 Å, c = 7.741 Å
α = 90.00°, β = 90.00°, γ = 90.00°
Space group P4mm (No. 99)
Asymmetric unit:
Pr (0.000, 0.000, 0.000)
Y (0.000, 0.000, 0.505)
Al (0.500, 0.500, 0.741)
Ag (0.500, 0.500, 0.282)

Record 6
Compound: PrAl2ZnAg4
Source: Alexandria
Functional: PBE
Structure: optimized geometry

a = 4.4954 Å, b = 4.4954 Å, c = 26.9330 Å
α = 90.00°, β = 90.00°, γ = 120.00°
Space group R-3m (No. 166, hexagonal axes)
Asymmetric unit:
Pr (0.0000, 0.0000, 0.0000)
Al (0.0000, 0.0000, 0.2457)
Zn (0.0000, 0.0000, 0.5000)
Ag (0.0000, 0.0000, 0.1345)
Ag (0.0000, 0.0000, 0.4024)

Record 7
Compound: Pr2AlZn4Ag3
Source: Alexandria
Functional: PBE
Structure: optimized geometry

a = 4.237 Å, b = 4.237 Å, c = 11.575 Å
α = 90.00°, β = 90.00°, γ = 90.00°
Space group P-4m2 (No. 115)
Asymmetric unit:
Pr (0.000, 0.500, 0.244)
Al (0.500, 0.500, 0.000)
Zn (0.000, 0.000, 0.500)
Zn (0.000, 0.500, 0.864)
Zn (0.500, 0.500, 0.500)
Ag (0.000, 0.000, 0.000)
Ag (0.000, 0.500, 0.640)

Record 8
Compound: PrAl2Zn4Ag
Source: Alexandria
Functional: PBE
Structure: optimized geometry

a = 4.3903 Å, b = 4.3903 Å, c = 26.7624 Å
α = 90.00°, β = 90.00°, γ = 120.00°
Space group R-3m (No. 166, hexagonal axes)
Asymmetric unit:
Pr (0.0000, 0.0000, 0.0000)
Al (0.0000, 0.0000, 0.2484)
Zn (0.0000, 0.0000, 0.1255)
Zn (0.0000, 0.0000, 0.3995)
Ag (0.0000, 0.0000, 0.5000)

Record 9
Compound: PrAl3ZnAg
Source: Alexandria
Functional: PBE
Structure: optimized geometry

a = 6.090 Å, b = 12.826 Å, c = 6.372 Å
α = 90.00°, β = 90.00°, γ = 90.00°
Space group Cmcm (No. 63)
Asymmetric unit:
Pr (0.000, 0.198, 0.250)
Al (0.000, 0.370, 0.750)
Al (0.216, 0.000, 0.000)
Zn (0.000, 0.418, 0.250)
Ag (0.000, 0.155, 0.750)

Record 10
Compound: PrAlZnAg
Source: Alexandria
Functional: PBE
Structure: optimized geometry

a = 6.935 Å, b = 6.935 Å, c = 6.935 Å
α = 90.00°, β = 90.00°, γ = 90.00°
Space group F-43m (No. 216)
Asymmetric unit:
Pr (0.000, 0.000, 0.000)
Al (0.000, 0.000, 0.500)
Zn (0.250, 0.250, 0.250)
Ag (0.250, 0.250, 0.750)

Record 11
Compound: Pr4AlZn2Ag
Source: Alexandria
Functional: PBE
Structure: optimized geometry

a = 5.2869 Å, b = 5.2869 Å, c = 26.0547 Å
α = 90.00°, β = 90.00°, γ = 120.00°
Space group R-3m (No. 166, hexagonal axes)
Asymmetric unit:
Pr (0.0000, 0.0000, 0.1243)
Pr (0.0000, 0.0000, 0.3746)
Al (0.0000, 0.0000, 0.0000)
Zn (0.0000, 0.0000, 0.2516)
Ag (0.0000, 0.0000, 0.5000)

Record 12
Compound: Pr2Al3Zn4Ag
Source: Alexandria
Functional: PBE
Structure: optimized geometry

a = 4.318 Å, b = 4.318 Å, c = 10.776 Å
α = 90.00°, β = 90.00°, γ = 90.00°
Space group P-4m2 (No. 115)
Asymmetric unit:
Pr (0.000, 0.500, 0.244)
Al (0.000, 0.500, 0.869)
Al (0.500, 0.500, 0.500)
Zn (0.000, 0.000, 0.000)
Zn (0.000, 0.500, 0.638)
Zn (0.500, 0.500, 0.000)
Ag (0.000, 0.000, 0.500)

Record 13
Compound: PrAlZn4Ag2
Source: Alexandria
Functional: PBE
Structure: optimized geometry

a = 4.4125 Å, b = 4.4125 Å, c = 27.1116 Å
α = 90.00°, β = 90.00°, γ = 120.00°
Space group R-3m (No. 166, hexagonal axes)
Asymmetric unit:
Pr (0.0000, 0.0000, 0.0000)
Al (0.0000, 0.0000, 0.5000)
Zn (0.0000, 0.0000, 0.1260)
Zn (0.0000, 0.0000, 0.3984)
Ag (0.0000, 0.0000, 0.2400)

Record 14
Compound: Pr2AlZn3Ag4
Source: Alexandria
Functional: PBE
Structure: optimized geometry

a = 4.226 Å, b = 4.226 Å, c = 11.788 Å
α = 90.00°, β = 90.00°, γ = 90.00°
Space group P-4m2 (No. 115)
Asymmetric unit:
Pr (0.000, 0.500, 0.249)
Al (0.000, 0.000, 0.500)
Zn (0.000, 0.500, 0.860)
Zn (0.500, 0.500, 0.500)
Ag (0.000, 0.000, 0.000)
Ag (0.000, 0.500, 0.638)
Ag (0.500, 0.500, 0.000)

Record 15
Compound: Pr4AlZnAg2
Source: Alexandria
Functional: PBE
Structure: optimized geometry

a = 5.3285 Å, b = 5.3285 Å, c = 26.1421 Å
α = 90.00°, β = 90.00°, γ = 120.00°
Space group R-3m (No. 166, hexagonal axes)
Asymmetric unit:
Pr (0.0000, 0.0000, 0.1230)
Pr (0.0000, 0.0000, 0.3734)
Al (0.0000, 0.0000, 0.5000)
Zn (0.0000, 0.0000, 0.0000)
Ag (0.0000, 0.0000, 0.2470)

Record 16
Compound: PrAl8ZnAg2
Source: Alexandria
Functional: PBE
Structure: optimized geometry

a = 8.505 Å, b = 5.319 Å, c = 10.307 Å
α = 90.00°, β = 93.78°, γ = 90.00°
Space group C2/m (No. 12)
Asymmetric unit:
Pr (0.000, 0.000, 0.000)
Al (0.069, 0.248, 0.304)
Al (0.170, 0.500, 0.536)
Al (0.177, 0.500, 0.107)
Zn (0.000, 0.000, 0.500)
Ag (0.173, 0.500, 0.828)

Record 17
Compound: Pr2Al6ZnAg
Source: Alexandria
Functional: PBE
Structure: optimized geometry

a = 6.4131 Å, b = 6.4131 Å, c = 36.4640 Å
α = 90.00°, β = 90.00°, γ = 120.00°
Space group R-3m (No. 166, hexagonal axes)
Asymmetric unit:
Pr (0.0000, 0.0000, 0.1391)
Pr (0.0000, 0.0000, 0.3120)
Al (0.0531, 0.5266, 0.7237)
Al (0.0619, 0.5309, 0.8829)
Zn (0.0000, 0.0000, 0.4201)
Ag (0.0000, 0.0000, 0.0000)
Ag (0.0000, 0.0000, 0.5000)

Record 18
Compound: Pr2Al3ZnAg4
Source: Alexandria
Functional: PBE
Structure: optimized geometry

a = 4.444 Å, b = 4.444 Å, c = 10.716 Å
α = 90.00°, β = 90.00°, γ = 90.00°
Space group P-4m2 (No. 115)
Asymmetric unit:
Pr (0.000, 0.500, 0.249)
Al (0.000, 0.000, 0.000)
Al (0.000, 0.500, 0.633)
Zn (0.500, 0.500, 0.000)
Ag (0.000, 0.000, 0.500)
Ag (0.000, 0.500, 0.869)
Ag (0.500, 0.500, 0.500)

Record 19
Compound: PrZrAlAg
Source: Alexandria
Functional: PBE
Structure: optimized geometry

a = 7.214 Å, b = 7.214 Å, c = 7.214 Å
α = 90.00°, β = 90.00°, γ = 90.00°
Space group F-43m (No. 216)
Asymmetric unit:
Pr (0.000, 0.000, 0.000)
Zr (0.000, 0.000, 0.500)
Al (0.250, 0.250, 0.250)
Ag (0.250, 0.250, 0.750)

Record 20
Compound: AlAg3Pt
Source: Alexandria
Functional: PBE
Structure: optimized geometry

a = 4.696 Å, b = 4.696 Å, c = 4.696 Å
α = 90.00°, β = 90.00°, γ = 90.00°
Space group Pm-3m (No. 221)
Asymmetric unit:
Al (0.000, 0.000, 0.000)
Ag (0.000, 0.000, 0.500)
Pt (0.500, 0.500, 0.500)

Record 21
Compound: AlAgPt
Source: Alexandria
Functional: PBE
Structure: optimized geometry

a = 5.957 Å, b = 5.957 Å, c = 5.957 Å
α = 90.00°, β = 90.00°, γ = 90.00°
Space group F-43m (No. 216)
Asymmetric unit:
Al (0.000, 0.000, 0.000)
Ag (0.250, 0.250, 0.250)
Pt (0.250, 0.250, 0.750)

Record 22
Compound: AlAgPt
Source: Alexandria
Functional: PBE
Structure: optimized geometry

a = 2.882 Å, b = 3.507 Å, c = 9.507 Å
α = 90.00°, β = 90.00°, γ = 90.00°
Space group Imm2 (No. 44)
Asymmetric unit:
Al (0.000, 0.000, 0.000)
Ag (0.000, 0.000, 0.321)
Pt (0.000, 0.000, 0.625)

Record 23
Compound: AlAg4Pt
Source: Alexandria
Functional: PBE
Structure: optimized geometry

a = 7.599 Å, b = 7.599 Å, c = 7.599 Å
α = 90.00°, β = 90.00°, γ = 90.00°
Space group F-43m (No. 216)
Asymmetric unit:
Al (0.000, 0.000, 0.000)
Ag (0.125, 0.125, 0.375)
Pt (0.250, 0.250, 0.750)

Record 24
Compound: Al2AgPt
Source: Alexandria
Functional: PBE
Structure: optimized geometry

a = 6.113 Å, b = 6.041 Å, c = 3.350 Å
α = 90.00°, β = 90.15°, γ = 90.00°
Space group C2/m (No. 12)
Asymmetric unit:
Al (0.250, 0.250, 0.000)
Ag (0.000, 0.000, 0.500)
Pt (0.000, 0.500, 0.500)

Record 25
Compound: AlAg3Pt
Source: Alexandria
Functional: PBE
Structure: optimized geometry

a = 5.107 Å, b = 5.107 Å, c = 5.107 Å
α = 90.00°, β = 90.00°, γ = 90.00°
Space group Pm-3m (No. 221)
Asymmetric unit:
Al (0.000, 0.000, 0.000)
Ag (0.000, 0.500, 0.500)
Pt (0.500, 0.500, 0.500)

Record 26
Compound: Al2AgPt
Source: Alexandria
Functional: PBE
Structure: optimized geometry

a = 6.349 Å, b = 6.349 Å, c = 6.349 Å
α = 90.00°, β = 90.00°, γ = 90.00°
Space group F-43m (No. 216)
Asymmetric unit:
Al (0.000, 0.000, 0.000)
Al (0.250, 0.250, 0.250)
Ag (0.000, 0.000, 0.500)
Pt (0.250, 0.250, 0.750)

| no. | calculated formation energy (meV/atom) |
| --- | --- |
| 1 | -296 |
| 2 | -299 |
| 3 | -343 |
| 4 | -313 |
| 5 | -344 |
| 6 | -169 |
| 7 | -260 |
| 8 | -163 |
| 9 | -87 |
| 10 | -294 |
| 11 | -293 |
| 12 | -355 |
| 13 | -125 |
| 14 | -244 |
| 15 | -268 |
| 16 | 7 |
| 17 | -120 |
| 18 | -304 |
| 19 | -125 |
| 20 | 758 |
| 21 | -385 |
| 22 | -498 |
| 23 | 262 |
| 24 | -479 |
| 25 | 810 |
| 26 | -222 |